Entry 1:
# Pr4Cd3Ag5

Crystalline Pr4Cd3Ag5 at its relaxed geometry (GGA-PBE, Alexandria via LeMat-Bulk).

Summary:
DOS(E_F) ... 0.741 states/eV/atom
Formation energy ... -11.3 kJ per mole of atoms
Symmetry ... No. 12

Cell: 5.114 7.203 9.676 Å, 85.40 74.68 69.21°
Positions (direct):
1 Pr 0.978 0.257 0.786
2 Pr 0.252 0.723 0.774
3 Pr 0.748 0.277 0.226
4 Pr 0.022 0.743 0.214
5 Cd 0.306 0.950 0.437
6 Cd 0.000 0.500 0.500
7 Cd 0.694 0.050 0.563
8 Ag 0.577 0.991 0.856
9 Ag 0.500 0.500 0.500
10 Ag 0.308 0.383 0.000
11 Ag 0.692 0.617 0.000
12 Ag 0.423 0.009 0.144

=====

Entry 2:
# Dy5IrPb4

Crystalline Dy5IrPb4 at its relaxed geometry (GGA-PBE, Alexandria via LeMat-Bulk).

Summary:
DOS(E_F) ... 0.635 states/eV/atom
Formation energy ... -37.7 kJ per mole of atoms
Symmetry ... No. 79

Cell: 6.217 7.542 7.542 Å, 80.22 65.66 65.66°
Positions (direct):
1 Dy 0.914 0.359 0.845
2 Dy 0.273 0.845 0.641
3 Dy 0.759 0.155 0.359
4 Dy 0.118 0.641 0.155
5 Dy 0.427 0.000 0.000
6 Ir 0.949 0.000 0.000
7 Pb 0.443 0.393 0.757
8 Pb 0.836 0.757 0.607
9 Pb 0.200 0.243 0.393
10 Pb 0.593 0.607 0.243